Below is a crystal of CaTiPO5 relaxed with PBEsol, with properties calculated at the meta-GGA SCAN level.

```
data_CaTiPO5
_space_group_name_H-M_alt 'P 1'
_space_group_IT_number 1
_space_group_name_Hall 'P 1'
_cell_length_a 5.495
_cell_length_b 5.495
_cell_length_c 6.950
_cell_angle_alpha 103.37
_cell_angle_beta 103.37
_cell_angle_gamma 106.27
loop_
_atom_site_label
_atom_site_fract_x
_atom_site_fract_y
_atom_site_fract_z
Ca1 0.167 0.833 0.750
Ca2 0.833 0.167 0.250
Ti1 0.500 0.500 0.500
Ti2 0.500 0.500 0.000
P1 0.821 0.179 0.750
P2 0.179 0.821 0.250
O1 0.609 0.169 0.866
O2 0.831 0.391 0.634
O3 0.391 0.831 0.134
O4 0.169 0.609 0.366
O5 0.240 0.094 0.413
O6 0.906 0.760 0.087
O7 0.760 0.906 0.587
O8 0.094 0.240 0.913
O9 0.580 0.420 0.250
O10 0.420 0.580 0.750
```

Results
Space group: C2/c
Total moment, μB per formula unit: 1.00


Below is a crystal of LaFePt2 relaxed with PBEsol, with properties calculated at the meta-GGA SCAN level.

```
data_LaFePt2
_space_group_name_H-M_alt 'P 1'
_space_group_IT_number 1
_space_group_name_Hall 'P 1'
_cell_length_a 4.304
_cell_length_b 4.304
_cell_length_c 5.555
_cell_angle_alpha 67.21
_cell_angle_beta 67.21
_cell_angle_gamma 60.00
loop_
_atom_site_label
_atom_site_fract_x
_atom_site_fract_y
_atom_site_fract_z
Fe1 0.000 0.000 0.000
La1 0.500 0.500 0.500
Pt1 0.706 0.706 0.882
Pt2 0.294 0.294 0.118
```

Results
DOS(E_F), states/eV/f.u.: 2.103
Space group: R-3m
Total moment, μB per formula unit: 3.45


Below is a crystal of Y2PbSeI relaxed with PBEsol, with properties calculated at the meta-GGA SCAN level.

```
data_Y2PbSeI
_space_group_name_H-M_alt 'P 1'
_space_group_IT_number 1
_space_group_name_Hall 'P 1'
_cell_length_a 5.570
_cell_length_b 5.570
_cell_length_c 5.680
_cell_angle_alpha 90.00
_cell_angle_beta 90.00
_cell_angle_gamma 90.00
loop_
_atom_site_label
_atom_site_fract_x
_atom_site_fract_y
_atom_site_fract_z
Pb1 0.000 0.000 0.500
I1 0.000 0.000 0.000
Y1 0.000 0.500 0.000
Y2 0.500 0.000 0.000
Se1 0.500 0.500 0.500
```

Results
DOS(E_F), states/eV/f.u.: 5.009
Space group: P4/mmm
Total moment, μB per formula unit: 0.80


Below is a crystal of Cd2In relaxed with PBEsol, with properties calculated at the meta-GGA SCAN level.

```
data_Cd2In
_space_group_name_H-M_alt 'P 1'
_space_group_IT_number 1
_space_group_name_Hall 'P 1'
_cell_length_a 4.447
_cell_length_b 4.447
_cell_length_c 13.820
_cell_angle_alpha 99.26
_cell_angle_beta 99.26
_cell_angle_gamma 90.00
loop_
_atom_site_label
_atom_site_fract_x
_atom_site_fract_y
_atom_site_fract_z
Cd1 0.500 0.000 0.999
Cd2 0.000 0.500 0.001
Cd3 0.250 0.250 0.499
Cd4 0.750 0.750 0.501
Cd5 0.668 0.168 0.336
Cd6 0.832 0.332 0.664
Cd7 0.418 0.418 0.836
Cd8 0.582 0.582 0.164
In1 0.332 0.832 0.664
In2 0.168 0.668 0.336
In3 0.082 0.082 0.164
In4 0.918 0.918 0.836
```

Results
DOS(E_F), states/eV/f.u.: 1.018
Space group: I4_1/amd
Total moment, μB per formula unit: 0.00


Below is a crystal of DyPbAu relaxed with PBEsol, with properties calculated at the meta-GGA SCAN level.

```
data_DyPbAu
_space_group_name_H-M_alt 'P 1'
_space_group_IT_number 1
_space_group_name_Hall 'P 1'
_cell_length_a 4.745
_cell_length_b 4.745
_cell_length_c 4.745
_cell_angle_alpha 60.00
_cell_angle_beta 60.00
_cell_angle_gamma 60.00
loop_
_atom_site_label
_atom_site_fract_x
_atom_site_fract_y
_atom_site_fract_z
Pb1 0.000 0.000 0.000
Au1 0.250 0.250 0.250
Dy1 0.500 0.500 0.500
```

Results
DOS(E_F), states/eV/f.u.: 0.023
Space group: F-43m
Total moment, μB per formula unit: 0.00


Below is a crystal of CaMgAgBi2 relaxed with PBEsol, with properties calculated at the meta-GGA SCAN level.

```
data_CaMgAgBi2
_space_group_name_H-M_alt 'P 1'
_space_group_IT_number 1
_space_group_name_Hall 'P 1'
_cell_length_a 4.987
_cell_length_b 5.484
_cell_length_c 5.484
_cell_angle_alpha 90.00
_cell_angle_beta 90.00
_cell_angle_gamma 90.00
loop_
_atom_site_label
_atom_site_fract_x
_atom_site_fract_y
_atom_site_fract_z
Mg1 0.000 0.000 0.000
Ca1 0.500 0.500 0.500
Bi1 0.000 0.000 0.500
Bi2 0.000 0.500 0.000
Ag1 0.500 0.000 0.000
```

Results
DOS(E_F), states/eV/f.u.: 2.625
Space group: P4/mmm
Total moment, μB per formula unit: 0.00


Below is a crystal of TaAl2Tc relaxed with PBEsol, with properties calculated at the meta-GGA SCAN level.

```
data_TaAl2Tc
_space_group_name_H-M_alt 'P 1'
_space_group_IT_number 1
_space_group_name_Hall 'P 1'
_cell_length_a 4.388
_cell_length_b 4.388
_cell_length_c 4.388
_cell_angle_alpha 60.00
_cell_angle_beta 60.00
_cell_angle_gamma 60.00
loop_
_atom_site_label
_atom_site_fract_x
_atom_site_fract_y
_atom_site_fract_z
Ta1 0.500 0.500 0.500
Al1 0.000 0.000 0.000
Al2 0.750 0.750 0.750
Tc1 0.250 0.250 0.250
```

Results
DOS(E_F), states/eV/f.u.: 0.405
Space group: F-43m
Total moment, μB per formula unit: 0.00


Below is a crystal of TlCo2PO relaxed with PBEsol, with properties calculated at the meta-GGA SCAN level.

```
data_TlCo2PO
_space_group_name_H-M_alt 'P 1'
_space_group_IT_number 1
_space_group_name_Hall 'P 1'
_cell_length_a 4.038
_cell_length_b 4.038
_cell_length_c 5.452
_cell_angle_alpha 90.00
_cell_angle_beta 90.00
_cell_angle_gamma 90.00
loop_
_atom_site_label
_atom_site_fract_x
_atom_site_fract_y
_atom_site_fract_z
P1 0.000 0.000 0.000
Tl1 0.000 0.000 0.500
Co1 0.000 0.500 0.000
Co2 0.500 0.000 0.000
O1 0.500 0.500 0.500
```

Results
DOS(E_F), states/eV/f.u.: 2.710
Space group: P4/mmm
Total moment, μB per formula unit: 3.74


Below is a crystal of TlFe2Os relaxed with PBEsol, with properties calculated at the meta-GGA SCAN level.

```
data_TlFe2Os
_space_group_name_H-M_alt 'P 1'
_space_group_IT_number 1
_space_group_name_Hall 'P 1'
_cell_length_a 4.355
_cell_length_b 4.355
_cell_length_c 4.355
_cell_angle_alpha 60.00
_cell_angle_beta 60.00
_cell_angle_gamma 60.00
loop_
_atom_site_label
_atom_site_fract_x
_atom_site_fract_y
_atom_site_fract_z
Fe1 0.000 0.000 0.000
Fe2 0.250 0.250 0.250
Os1 0.500 0.500 0.500
Tl1 0.750 0.750 0.750
```

Results
DOS(E_F), states/eV/f.u.: 3.032
Space group: F-43m
Total moment, μB per formula unit: 6.22


Below is a crystal of CaSi2As2 relaxed with PBEsol, with properties calculated at the meta-GGA SCAN level.

```
data_CaSi2As2
_space_group_name_H-M_alt 'P 1'
_space_group_IT_number 1
_space_group_name_Hall 'P 1'
_cell_length_a 4.926
_cell_length_b 5.363
_cell_length_c 4.926
_cell_angle_alpha 62.66
_cell_angle_beta 90.00
_cell_angle_gamma 117.34
loop_
_atom_site_label
_atom_site_fract_x
_atom_site_fract_y
_atom_site_fract_z
As1 0.750 0.500 0.750
As2 0.250 0.500 0.250
Si1 0.650 0.299 0.350
Si2 0.350 0.701 0.650
Ca1 0.000 0.000 0.000
```

Results
DOS(E_F), states/eV/f.u.: 1.415
Space group: I4/mmm
Total moment, μB per formula unit: 0.00


Below is a crystal of LaGa3Co10 relaxed with PBEsol, with properties calculated at the meta-GGA SCAN level.

```
data_LaGa3Co10
_space_group_name_H-M_alt 'P 1'
_space_group_IT_number 1
_space_group_name_Hall 'P 1'
_cell_length_a 7.873
_cell_length_b 7.873
_cell_length_c 7.961
_cell_angle_alpha 119.37
_cell_angle_beta 119.37
_cell_angle_gamma 90.48
loop_
_atom_site_label
_atom_site_fract_x
_atom_site_fract_y
_atom_site_fract_z
La1 0.748 0.248 0.497
La2 0.248 0.748 0.497
Ga1 0.447 0.447 0.253
Ga2 0.806 0.806 0.253
Ga3 0.699 0.059 0.758
Ga4 0.059 0.699 0.758
Ga5 0.555 0.555 0.752
Ga6 0.196 0.196 0.752
Co1 0.703 0.942 0.006
Co2 0.303 0.064 0.006
Co3 0.800 0.440 0.001
Co4 0.202 0.562 0.001
Co5 0.562 0.202 0.001
Co6 0.440 0.800 0.001
Co7 0.064 0.303 0.006
Co8 0.942 0.703 0.006
Co9 0.002 0.002 0.003
Co10 0.501 0.501 0.003
Co11 0.795 0.554 0.349
Co12 0.554 0.795 0.349
Co13 0.064 0.064 0.347
Co14 0.283 0.283 0.347
Co15 0.204 0.437 0.641
Co16 0.437 0.204 0.641
Co17 0.938 0.938 0.651
Co18 0.713 0.713 0.651
Co19 0.295 0.940 0.235
Co20 0.940 0.295 0.235
```

Results
DOS(E_F), states/eV/f.u.: 12.012
Space group: Fmm2
Total moment, μB per formula unit: 14.39


Below is a crystal of Cs2BeSiPd relaxed with PBEsol, with properties calculated at the meta-GGA SCAN level.

```
data_Cs2BeSiPd
_space_group_name_H-M_alt 'P 1'
_space_group_IT_number 1
_space_group_name_Hall 'P 1'
_cell_length_a 4.550
_cell_length_b 6.635
_cell_length_c 6.635
_cell_angle_alpha 90.00
_cell_angle_beta 90.00
_cell_angle_gamma 90.00
loop_
_atom_site_label
_atom_site_fract_x
_atom_site_fract_y
_atom_site_fract_z
Cs1 0.000 0.000 0.500
Cs2 0.000 0.500 0.000
Be1 0.500 0.500 0.500
Si1 0.500 0.000 0.000
Pd1 0.000 0.000 0.000
```

Results
DOS(E_F), states/eV/f.u.: 4.104
Space group: P4/mmm
Total moment, μB per formula unit: 0.00


Looking at final energy for the records above, in order, we have -11.494, -51.285, -37.305, -31.352, -65.208, -40.612, -29.727, -24.115, -44.520, -14.225, -19.071, -23.968 eV/atom.